[1]
Lu2AsN: optimized geometry, PBE.

Cell lengths 3.608, 3.608, 12.627 Å; angles 90.00, 90.00, 120.00 degrees
Fractional coordinates of all 8 atoms:
Lu  0.333  0.667  0.102
Lu  0.667  0.333  0.602
Lu  0.333  0.667  0.398
Lu  0.667  0.333  0.898
As  0.333  0.667  0.750
As  0.667  0.333  0.250
N  0.000  0.000  0.500
N  0.000  0.000  0.000

Properties
Electronic total energy = -6.928 eV per atom
Total magnetic moment = 0.000 μB/atom

***

[2]
LiBeGaCo: optimized geometry, PBE.

Cell lengths 3.916, 3.916, 3.916 Å; angles 60.00, 60.00, 60.00 degrees
Fractional coordinates of all 4 atoms:
Co  0.750  0.750  0.750
Be  0.000  0.000  0.000
Li  0.500  0.500  0.500
Ga  0.250  0.250  0.250

Properties
E above lowest polymorph = 105 meV per atom
Total magnetic moment = 0.002 μB/atom

***

[3]
NaBPd: optimized geometry, PBE.

Cell lengths 4.161, 4.161, 4.161 Å; angles 60.00, 60.00, 60.00 degrees
Fractional coordinates of all 3 atoms:
Na  0.000  0.000  0.000
Pd  0.750  0.750  0.750
B  0.250  0.250  0.250

Properties
Electronic total energy = -2.927 eV per atom

***

[4]
Nb2NiB: optimized geometry, PBE.

Cell lengths 4.284, 4.284, 4.284 Å; angles 60.00, 60.00, 60.00 degrees
Site moments in Bohr magnetons follow the coordinates.
Fractional coordinates of all 4 atoms:
Nb  0.750  0.750  0.750  0.48
Nb  0.000  0.000  0.000  0.21
B  0.500  0.500  0.500  0.00
Ni  0.250  0.250  0.250  0.21

Properties
Electronic total energy = -7.461 eV per atom
Total magnetic moment = 0.239 μB/atom

***

| no. | ρ (Mg/m³) |
| --- | --- |
| 1 | 10.237 |
| 2 | 5.657 |
| 3 | 4.571 |
| 4 | 7.624 |